Record 1
# EuAg5

A crystal of EuAg5 relaxed with PBEsol (meta-GGA SCAN, Alexandria via LeMat-Bulk).

Properties
Calculated total energy = -211.63 eV/cell
Formation energy from the elements = -0.1802 eV/atom
Spin magnetization = 1.23 μB/atom

Structure (extended XYZ):
```
6
Lattice="4.5858 0.0000 0.0000 0.0000 5.5307 0.0000 0.0000 -2.7653 4.7897" Properties=species:S:1:pos:R:3 pbc="T T T"
Ag 0.0000 2.7654 1.5966
Ag 2.2929 -1.3827 2.3949
Ag 2.2929 1.3827 2.3949
Ag 0.0000 0.0000 3.1931
Eu 0.0000 0.0000 0.0000
Ag 2.2929 2.7653 0.0000
```



Record 2
# EuGaAg

A crystal of EuGaAg relaxed with PBEsol (meta-GGA SCAN, Alexandria via LeMat-Bulk).

Properties
Calculated total energy = -205.69 eV/cell
Formation energy from the elements = -0.4729 eV/atom
Spin magnetization = 2.40 μB/atom

Structure (extended XYZ):
```
6
Lattice="4.6542 0.0000 0.0000 2.3271 5.2451 0.0152 2.3271 0.0989 5.4101" Properties=species:S:1:pos:R:3 pbc="T T T"
Ag 6.9813 3.2527 4.0077
Ga 4.6542 1.1391 0.5674
Eu 4.6542 1.1458 3.7521
Eu 4.6542 4.1982 1.6732
Ga 4.6542 4.2049 4.8579
Ag 2.3271 2.0912 1.4176
```



Record 3
# EuGaAg4

A crystal of EuGaAg4 relaxed with PBEsol (meta-GGA SCAN, Alexandria via LeMat-Bulk).

Properties
Calculated total energy = -196.93 eV/cell
Formation energy from the elements = -0.2337 eV/atom
Spin magnetization = 1.21 μB/atom

Structure (extended XYZ):
```
6
Lattice="-3.1877 1.7488 -2.7080 -3.4820 -3.7844 1.6549 0.1274 4.6040 2.8233" Properties=species:S:1:pos:R:3 pbc="T T T"
Ag -2.9097 -2.4545 1.8401
Ag -0.4449 3.2741 2.6380
Eu -1.6773 0.4098 2.2391
Ga -1.5939 0.8744 -1.3540
Ag -3.3348 -1.0178 -0.5266
Ag -1.5302 3.1764 0.0576
```



Record 4
# EuAgHg2

A crystal of EuAgHg2 relaxed with PBEsol (meta-GGA SCAN, Alexandria via LeMat-Bulk).

Properties
Calculated total energy = -223.07 eV/cell
Formation energy from the elements = -0.4153 eV/atom
Spin magnetization = 1.86 μB/atom

Structure (extended XYZ):
```
4
Lattice="5.0343 0.0000 0.0000 2.5171 4.3598 0.0000 2.5171 1.4533 4.1105" Properties=species:S:1:pos:R:3 pbc="T T T"
Hg 2.5171 1.4533 1.0276
Hg 7.5514 4.3598 3.0829
Eu 0.0000 0.0000 0.0000
Ag 5.0343 2.9066 2.0552
```



Record 5
# Eu2AgHg

A crystal of Eu2AgHg relaxed with PBEsol (meta-GGA SCAN, Alexandria via LeMat-Bulk).

Properties
Calculated total energy = -208.98 eV/cell
Formation energy from the elements = -0.5048 eV/atom
Spin magnetization = 3.70 μB/atom

Structure (extended XYZ):
```
4
Lattice="-4.6482 2.4329 0.7685 -4.4753 -2.8364 0.2031 -2.5657 -0.5782 4.6041" Properties=species:S:1:pos:R:3 pbc="T T T"
Eu -8.7669 -0.7363 4.1818
Ag -5.8446 -0.4909 2.7879
Hg 0.0000 0.0000 0.0000
Eu -2.9223 -0.2454 1.3939
```



Record 6
# EuInAg2

A crystal of EuInAg2 relaxed with PBEsol (meta-GGA SCAN, Alexandria via LeMat-Bulk).

Properties
Calculated total energy = -150.99 eV/cell
Formation energy from the elements = -0.2892 eV/atom
Spin magnetization = 1.80 μB/atom

Structure (extended XYZ):
```
4
Lattice="-3.5427 -2.3004 2.6136 -3.5610 -2.5459 -2.3475 -0.0800 -4.9605 0.2458" Properties=species:S:1:pos:R:3 pbc="T T T"
Ag -5.3877 -7.3550 0.3839
Eu -3.5918 -4.9033 0.2559
In 0.0000 0.0000 0.0000
Ag -1.7959 -2.4517 0.1280
```



Record 7
# EuMgAg

A crystal of EuMgAg relaxed with PBEsol (meta-GGA SCAN, Alexandria via LeMat-Bulk).

Properties
Calculated total energy = -364.02 eV/cell
Formation energy from the elements = -0.3173 eV/atom
Spin magnetization = 2.48 μB/atom

Structure (extended XYZ):
```
12
Lattice="-4.2855 1.3640 -0.0317 -1.1076 -3.3237 6.7208 2.3348 7.4295 4.0589" Properties=species:S:1:pos:R:3 pbc="T T T"
Ag -1.4290 6.7498 5.0824
Mg -1.0839 0.3291 1.1724
Ag -1.6293 -1.2799 5.6657
Eu -3.5297 0.2128 7.7830
Ag -2.5639 3.2389 7.4326
Mg -0.7532 1.4817 6.0704
Eu 0.4714 5.2570 2.9650
Ag -0.4944 2.2310 3.3155
Eu 0.2597 4.6838 6.9202
Mg -1.9744 5.1408 9.5757
Eu -3.3180 0.7861 3.8279
Mg -2.3051 3.9882 4.6776
```



Record 8
# EuAg2Pb

A crystal of EuAg2Pb relaxed with PBEsol (meta-GGA SCAN, Alexandria via LeMat-Bulk).

Properties
Calculated total energy = -193.47 eV/cell
Formation energy from the elements = -0.3103 eV/atom
Spin magnetization = 1.75 μB/atom

Structure (extended XYZ):
```
4
Lattice="-3.4291 -3.0783 -2.0338 -3.0353 -2.7045 2.9738 -4.8978 1.1366 0.3004" Properties=species:S:1:pos:R:3 pbc="T T T"
Ag -8.5216 -3.4846 0.9303
Ag -2.8405 -1.1615 0.3101
Pb 0.0000 0.0000 0.0000
Eu -5.6811 -2.3231 0.6202
```



Record 9
# Eu2AgPd

A crystal of Eu2AgPd relaxed with PBEsol (meta-GGA SCAN, Alexandria via LeMat-Bulk).

Properties
Calculated total energy = -173.59 eV/cell
Formation energy from the elements = -0.5070 eV/atom
Spin magnetization = 3.64 μB/atom

Structure (extended XYZ):
```
4
Lattice="5.1171 0.0000 0.0000 2.5586 4.4315 0.0000 2.5586 1.4772 4.1781" Properties=species:S:1:pos:R:3 pbc="T T T"
Ag 5.1171 2.9544 2.0890
Eu 7.6757 4.4315 3.1336
Pd 0.0000 0.0000 0.0000
Eu 2.5586 1.4772 1.0445
```



Record 10
# Eu2AgPt

A crystal of Eu2AgPt relaxed with PBEsol (meta-GGA SCAN, Alexandria via LeMat-Bulk).

Properties
Calculated total energy = -211.80 eV/cell
Formation energy from the elements = -0.7042 eV/atom
Spin magnetization = 3.62 μB/atom

Structure (extended XYZ):
```
4
Lattice="-0.2585 -0.7465 -5.0172 -2.6065 -3.9475 -1.8492 -4.3752 0.7742 -2.4605" Properties=species:S:1:pos:R:3 pbc="T T T"
Eu -5.4302 -2.9399 -6.9952
Ag -3.6201 -1.9599 -4.6635
Pt 0.0000 0.0000 0.0000
Eu -1.8101 -0.9800 -2.3317
```



Record 11
# EuAg2Sn

A crystal of EuAg2Sn relaxed with PBEsol (meta-GGA SCAN, Alexandria via LeMat-Bulk).

Properties
Calculated total energy = -153.85 eV/cell
Formation energy from the elements = -0.3714 eV/atom
Spin magnetization = 1.74 μB/atom

Structure (extended XYZ):
```
4
Lattice="4.9552 0.0000 0.0000 2.4776 4.2913 0.0000 2.4776 1.4304 4.0459" Properties=species:S:1:pos:R:3 pbc="T T T"
Sn 4.9552 2.8609 2.0230
Eu 0.0000 0.0000 0.0000
Ag 2.4776 1.4304 1.0115
Ag 7.4328 4.2913 3.0344
```



Record 12
# Eu2AgSn

A crystal of Eu2AgSn relaxed with PBEsol (meta-GGA SCAN, Alexandria via LeMat-Bulk).

Properties
Calculated total energy = -176.97 eV/cell
Formation energy from the elements = -0.5640 eV/atom
Spin magnetization = 3.47 μB/atom

Structure (extended XYZ):
```
4
Lattice="5.3519 0.0000 0.0000 2.6760 4.6349 0.0000 2.6760 1.5450 4.3698" Properties=species:S:1:pos:R:3 pbc="T T T"
Sn 0.0000 0.0000 0.0000
Eu 8.0279 4.6349 3.2774
Eu 2.6760 1.5450 1.0925
Ag 5.3519 3.0899 2.1849
```